1.
Computed, not measured: a geometry-optimized Pm2CdInAu4 structure at the GGA-PBE level of DFT.

Total DFT energy (no corrections) in eV/atom: -3.956
ΔH_f (0 K) in eV/f.u.: -5.38

```
Pm2CdInAu4
1.0
-4.350 -2.530 -0.127
-1.689 -1.885 -4.351
1.991 -8.429 -0.032
Au Pm Cd In
4 2 1 1
Direct
0.876 0.876 0.372
0.624 0.624 0.127
0.376 0.376 0.873
0.124 0.124 0.628
0.750 0.750 0.750
0.250 0.250 0.250
0.000 0.000 0.000
0.500 0.500 0.500
```


2.
Computed, not measured: a geometry-optimized Gd2HoMn structure at the GGA-PBE level of DFT.

Total DFT energy (no corrections) in eV/atom: -10.360
ΔH_f (0 K) in eV/f.u.: 0.47
Energy above the lowest structure with this stoichiometry in meV/atom: 0

```
Gd2HoMn
1.0
-1.444 3.118 -0.780
-1.529 0.086 3.174
7.029 4.074 3.275
Gd Mn Ho
2 1 1
Direct
0.000 0.000 0.203
0.000 0.000 0.797
0.500 0.500 0.000
0.500 0.500 0.500
```


3.
Computed, not measured: a geometry-optimized CdHg2 structure at the GGA-PBE level of DFT.

Total DFT energy (no corrections) in eV/atom: -0.472
ΔH_f (0 K) in eV/f.u.: 0.10
Energy above the lowest structure with this stoichiometry in meV/atom: 18

```
CdHg2
1.0
-6.128 -0.514 -1.606
-5.846 -2.075 1.386
9.041 8.498 3.579
Hg Cd
4 2
Direct
0.768 0.768 0.062
0.664 0.664 0.319
0.462 0.462 0.400
0.116 0.116 0.732
0.990 0.990 0.994
0.333 0.333 0.660
```


4.
Computed, not measured: a geometry-optimized BaTeAs2O8 structure at the GGA-PBE level of DFT.

Total DFT energy (no corrections) in eV/atom: -5.945
Energy relative to the elements, uncorrected in eV/f.u.: -17.308

```
BaTeAs2O8
1.0
5.113 0.000 0.000
2.557 4.428 0.000
2.557 1.476 8.373
O Te As Ba
8 1 2 1
Direct
0.760 0.463 0.670
0.893 0.537 0.330
0.312 0.312 0.063
0.463 0.107 0.670
0.688 0.688 0.937
0.107 0.760 0.670
0.240 0.893 0.330
0.537 0.240 0.330
0.500 0.500 0.500
0.245 0.245 0.265
0.755 0.755 0.735
0.000 0.000 0.000
```


Which formula does entry 3 have?
CdHg2


Repeat the third record exactly.
Computed, not measured: a geometry-optimized CdHg2 structure at the GGA-PBE level of DFT.

Total DFT energy (no corrections) in eV/atom: -0.472
ΔH_f (0 K) in eV/f.u.: 0.10
Energy above the lowest structure with this stoichiometry in meV/atom: 18

```
CdHg2
1.0
-6.128 -0.514 -1.606
-5.846 -2.075 1.386
9.041 8.498 3.579
Hg Cd
4 2
Direct
0.768 0.768 0.062
0.664 0.664 0.319
0.462 0.462 0.400
0.116 0.116 0.732
0.990 0.990 0.994
0.333 0.333 0.660
```


The highest total DFT energy (no corrections) belongs to which entry?
CdHg2